No. 1
# Rb2SnAs PBE optimized geometry
# Energy relative to the elements: -0.085 eV per atom
# M_tot: 0.000 Bohr magnetons per cell
# Excess energy over the best structure of this formula in the dataset: 114 meV per atom
# Space group: I-42d, No. 122
data_Rb2SnAs
_space_group_name_H-M_alt 'P 1'
_space_group_IT_number 1
_cell_length_a 9.655
_cell_length_b 9.655
_cell_length_c 9.655
_cell_angle_alpha 94.45
_cell_angle_beta 94.45
_cell_angle_gamma 147.64
loop_
_space_group_symop_operation_xyz
'x,y,z'
loop_
_atom_site_label
_atom_site_fract_x
_atom_site_fract_y
_atom_site_fract_z
Rb1 0.375 0.190 0.315
Rb2 0.810 0.125 0.185
Rb3 0.875 0.060 0.685
Rb4 0.940 0.625 0.815
Sn1 0.250 0.750 0.500
Sn2 0.500 0.500 0.000
As1 0.000 0.000 0.000
As2 0.750 0.250 0.500

No. 2
# RbSnAs2 PBE optimized geometry
# Energy relative to the elements: -0.141 eV per atom
# M_tot: 0.000 Bohr magnetons per cell
# Space group: P4/mmm, No. 123
data_RbSnAs2
_space_group_name_H-M_alt 'P 1'
_space_group_IT_number 1
_cell_length_a 4.145
_cell_length_b 4.145
_cell_length_c 7.187
_cell_angle_alpha 90.00
_cell_angle_beta 90.00
_cell_angle_gamma 90.00
loop_
_space_group_symop_operation_xyz
'x,y,z'
loop_
_atom_site_label
_atom_site_fract_x
_atom_site_fract_y
_atom_site_fract_z
Rb1 0.000 0.000 0.000
Sn1 0.000 0.000 0.500
As1 0.500 0.500 0.334
As2 0.500 0.500 0.666

No. 3
# RbSn2As2 PBE optimized geometry
# Energy relative to the elements: -0.181 eV per atom
# M_tot: 0.000 Bohr magnetons per cell
# Space group: I4/mmm, No. 139
data_RbSn2As2
_space_group_name_H-M_alt 'P 1'
_space_group_IT_number 1
_cell_length_a 6.406
_cell_length_b 6.406
_cell_length_c 6.406
_cell_angle_alpha 130.70
_cell_angle_beta 130.70
_cell_angle_gamma 72.28
loop_
_space_group_symop_operation_xyz
'x,y,z'
loop_
_atom_site_label
_atom_site_fract_x
_atom_site_fract_y
_atom_site_fract_z
Rb1 0.000 0.000 0.000
Sn1 0.349 0.349 0.000
Sn2 0.651 0.651 0.000
As1 0.250 0.750 0.500
As2 0.750 0.250 0.500